Entry A
Material: TbY5Ho3
Method: DFT, PBE
State: optimized geometry

- space-group type = P6_3/mcm (193)
- density (g/cm³) = 6.36

a = 9.714 Å, b = 9.714 Å, c = 7.020 Å
α = 90.00°, β = 90.00°, γ = 120.00°
Sites, in units of the cell vectors:
Tb1 0.000 0.000 0.000
Tb2 0.000 0.000 0.500
Y1 0.000 0.309 0.250
Y2 0.000 0.691 0.750
Y3 0.309 0.000 0.250
Y4 0.309 0.309 0.750
Y5 0.333 0.667 0.000
Y6 0.333 0.667 0.500
Y7 0.667 0.333 0.000
Y8 0.667 0.333 0.500
Y9 0.691 0.000 0.750
Y10 0.691 0.691 0.250
Ho1 0.000 0.357 0.750
Ho2 0.000 0.643 0.250
Ho3 0.357 0.000 0.750
Ho4 0.357 0.357 0.250
Ho5 0.643 0.000 0.250
Ho6 0.643 0.643 0.750

Entry B
Material: TbY5Ho3
Method: DFT, PBE
State: optimized geometry

- space-group type = C2/c (15)
- density (g/cm³) = 6.10

a = 8.716 Å, b = 8.716 Å, c = 11.731 Å
α = 106.99°, β = 106.99°, γ = 45.05°
Sites, in units of the cell vectors:
Tb1 0.189 0.811 0.750
Tb2 0.811 0.189 0.250
Y1 0.023 0.410 0.765
Y2 0.262 0.372 0.551
Y3 0.303 0.697 0.250
Y4 0.372 0.262 0.051
Y5 0.410 0.023 0.265
Y6 0.590 0.977 0.735
Y7 0.628 0.738 0.949
Y8 0.697 0.303 0.750
Y9 0.738 0.628 0.449
Y10 0.977 0.590 0.235
Ho1 0.054 0.160 0.012
Ho2 0.160 0.054 0.512
Ho3 0.500 0.500 0.000
Ho4 0.500 0.500 0.500
Ho5 0.840 0.946 0.488
Ho6 0.946 0.840 0.988

Which structure loses on stability? entry B does.

Entry A
Material: Tb3Y7Ho
Method: DFT, PBE
State: optimized geometry

- space-group type = P2/m (10)
- density (g/cm³) = 5.81

a = 6.923 Å, b = 5.540 Å, c = 10.011 Å
α = 90.00°, β = 109.70°, γ = 90.00°
Sites, in units of the cell vectors:
Tb1 0.000 0.000 0.000
Tb2 0.279 0.500 0.498
Tb3 0.721 0.500 0.502
Y1 0.000 0.000 0.500
Y2 0.147 0.500 0.789
Y3 0.318 0.500 0.137
Y4 0.420 0.000 0.330
Y5 0.580 0.000 0.670
Y6 0.682 0.500 0.863
Y7 0.853 0.500 0.211
Ho1 0.500 0.000 0.000

Entry B
Material: Tb3Y7Ho
Method: DFT, PBE
State: optimized geometry

- space-group type = P3m1 (156)
- density (g/cm³) = 5.61

a = 7.081 Å, b = 7.081 Å, c = 8.610 Å
α = 90.00°, β = 90.00°, γ = 120.00°
Sites, in units of the cell vectors:
Tb1 0.001 0.500 0.000
Tb2 0.500 0.500 0.000
Tb3 0.500 0.999 0.000
Y1 0.168 0.336 0.335
Y2 0.168 0.832 0.335
Y3 0.335 0.168 0.667
Y4 0.664 0.832 0.335
Y5 0.667 0.333 0.336
Y6 0.832 0.168 0.667
Y7 0.832 0.665 0.667
Ho1 0.333 0.667 0.665

Which structure loses on stability? entry B does.

Entry A
Material: Tb3Y4Ho
Method: DFT, PBE
State: optimized geometry

- space-group type = Pmn2_1 (31)
- density (g/cm³) = 6.38

a = 11.287 Å, b = 7.293 Å, c = 6.305 Å
α = 90.00°, β = 90.00°, γ = 90.00°
Sites, in units of the cell vectors:
Tb1 0.000 0.124 0.000
Tb2 0.250 0.124 0.330
Tb3 0.250 0.876 0.830
Tb4 0.500 0.876 0.500
Tb5 0.750 0.124 0.330
Tb6 0.750 0.876 0.830
Y1 0.000 0.374 0.497
Y2 0.000 0.626 0.997
Y3 0.250 0.374 0.833
Y4 0.250 0.626 0.333
Y5 0.500 0.374 0.497
Y6 0.500 0.626 0.997
Y7 0.750 0.374 0.833
Y8 0.750 0.626 0.333
Ho1 0.000 0.876 0.500
Ho2 0.500 0.124 0.000

Entry B
Material: Tb3Y4Ho
Method: DFT, PBE
State: optimized geometry

- space-group type = Cmmm (65)
- density (g/cm³) = 6.28

a = 13.453 Å, b = 13.453 Å, c = 3.557 Å
α = 90.00°, β = 90.00°, γ = 155.83°
Sites, in units of the cell vectors:
Tb1 0.000 0.000 0.000
Tb2 0.155 0.845 0.500
Tb3 0.845 0.155 0.500
Y1 0.277 0.723 0.000
Y2 0.397 0.603 0.000
Y3 0.603 0.397 0.000
Y4 0.723 0.277 0.000
Ho1 0.500 0.500 0.500

Which structure loses on stability? entry B does.

Entry A
Material: Tb2Y3Ho
Method: DFT, PBE
State: optimized geometry

- space-group type = C2/m (12)
- density (g/cm³) = 6.36

a = 9.049 Å, b = 9.049 Å, c = 14.174 Å
α = 116.90°, β = 116.90°, γ = 22.33°
Sites, in units of the cell vectors:
Tb1 0.158 0.158 0.469
Tb2 0.319 0.319 0.117
Tb3 0.681 0.681 0.883
Tb4 0.842 0.842 0.531
Y1 0.099 0.099 0.025
Y2 0.239 0.239 0.293
Y3 0.462 0.462 0.785
Y4 0.538 0.538 0.215
Y5 0.761 0.761 0.707
Y6 0.901 0.901 0.975
Ho1 0.063 0.063 0.643
Ho2 0.937 0.937 0.357

Entry B
Material: Tb2Y3Ho
Method: DFT, PBE
State: optimized geometry

- space-group type = C2/c (15)
- density (g/cm³) = 6.50

a = 9.426 Å, b = 9.426 Å, c = 6.157 Å
α = 90.10°, β = 90.10°, γ = 44.40°
Sites, in units of the cell vectors:
Tb1 0.041 0.292 0.417
Tb2 0.292 0.041 0.917
Tb3 0.708 0.959 0.083
Tb4 0.959 0.708 0.583
Y1 0.125 0.875 0.250
Y2 0.209 0.459 0.083
Y3 0.459 0.209 0.583
Y4 0.541 0.791 0.417
Y5 0.791 0.541 0.917
Y6 0.875 0.125 0.750
Ho1 0.375 0.625 0.750
Ho2 0.625 0.375 0.250

Which structure loses on stability? entry A does.

Entry A
Material: Tb9Y2Ho
Method: DFT, PBE
State: optimized geometry

- space-group type = P6/mmm (191)
- density (g/cm³) = 7.68

a = 11.260 Å, b = 11.260 Å, c = 3.491 Å
α = 90.00°, β = 90.00°, γ = 120.00°
Sites, in units of the cell vectors:
Tb1 0.000 0.500 0.000
Tb2 0.175 0.350 0.500
Tb3 0.175 0.825 0.500
Tb4 0.350 0.175 0.500
Tb5 0.500 0.000 0.000
Tb6 0.500 0.500 0.000
Tb7 0.650 0.825 0.500
Tb8 0.825 0.175 0.500
Tb9 0.825 0.650 0.500
Y1 0.333 0.667 0.000
Y2 0.667 0.333 0.000
Ho1 0.000 0.000 0.000

Entry B
Material: Tb9Y2Ho
Method: DFT, PBE
State: optimized geometry

- space-group type = P4/mmm (123)
- density (g/cm³) = 7.69

a = 5.035 Å, b = 5.035 Å, c = 15.105 Å
α = 90.00°, β = 90.00°, γ = 90.00°
Sites, in units of the cell vectors:
Tb1 0.000 0.000 0.000
Tb2 0.000 0.000 0.333
Tb3 0.000 0.000 0.667
Tb4 0.000 0.500 0.166
Tb5 0.000 0.500 0.500
Tb6 0.000 0.500 0.834
Tb7 0.500 0.000 0.166
Tb8 0.500 0.000 0.500
Tb9 0.500 0.000 0.834
Y1 0.500 0.500 0.333
Y2 0.500 0.500 0.667
Ho1 0.500 0.500 0.000

Which structure loses on stability? entry A does.

Entry A
Material: Tb6YHo2
Method: DFT, PBE
State: optimized geometry

- space-group type = C2/c (15)
- density (g/cm³) = 7.82

a = 9.848 Å, b = 9.848 Å, c = 6.257 Å
α = 100.74°, β = 100.74°, γ = 93.29°
Sites, in units of the cell vectors:
Tb1 0.067 0.822 0.985
Tb2 0.079 0.510 0.272
Tb3 0.178 0.933 0.515
Tb4 0.350 0.436 0.043
Tb5 0.436 0.350 0.543
Tb6 0.490 0.921 0.228
Tb7 0.510 0.079 0.772
Tb8 0.564 0.650 0.457
Tb9 0.650 0.564 0.957
Tb10 0.822 0.067 0.485
Tb11 0.921 0.490 0.728
Tb12 0.933 0.178 0.015
Y1 0.321 0.679 0.750
Y2 0.679 0.321 0.250
Ho1 0.128 0.261 0.590
Ho2 0.261 0.128 0.090
Ho3 0.739 0.872 0.910
Ho4 0.872 0.739 0.410

Entry B
Material: Tb6YHo2
Method: DFT, PBE
State: optimized geometry

- space-group type = P-1 (2)
- density (g/cm³) = 7.98

a = 3.557 Å, b = 8.699 Å, c = 9.399 Å
α = 90.00°, β = 100.84°, γ = 90.08°
Sites, in units of the cell vectors:
Tb1 0.111 0.167 0.222
Tb2 0.222 0.834 0.444
Tb3 0.333 0.500 0.666
Tb4 0.667 0.500 0.334
Tb5 0.778 0.166 0.556
Tb6 0.889 0.833 0.778
Y1 0.000 0.500 0.000
Ho1 0.444 0.166 0.889
Ho2 0.556 0.834 0.111

Which structure loses on stability? entry A does.

Entry A
Material: Tb4Y5Ho
Method: DFT, PBE
State: optimized geometry

- space-group type = I4 (79)
- density (g/cm³) = 6.28

a = 7.903 Å, b = 7.903 Å, c = 7.903 Å
α = 99.01°, β = 99.01°, γ = 133.39°
Sites, in units of the cell vectors:
Tb1 0.048 0.651 0.698
Tb2 0.349 0.048 0.397
Tb3 0.651 0.952 0.603
Tb4 0.952 0.349 0.302
Y1 0.266 0.349 0.619
Y2 0.349 0.730 0.083
Y3 0.647 0.266 0.917
Y4 0.730 0.647 0.381
Y5 0.771 0.771 0.000
Ho1 0.232 0.232 0.000

Entry B
Material: Tb4Y5Ho
Method: DFT, PBE
State: optimized geometry

- space-group type = C2/m (12)
- density (g/cm³) = 6.47

a = 12.870 Å, b = 12.870 Å, c = 7.118 Å
α = 97.99°, β = 97.99°, γ = 15.88°
Sites, in units of the cell vectors:
Tb1 0.100 0.100 0.298
Tb2 0.300 0.300 0.899
Tb3 0.700 0.700 0.101
Tb4 0.900 0.900 0.702
Y1 0.100 0.100 0.802
Y2 0.301 0.301 0.401
Y3 0.500 0.500 0.500
Y4 0.699 0.699 0.599
Y5 0.900 0.900 0.198
Ho1 0.500 0.500 0.000

Which structure loses on stability? entry A does.

Entry A
Material: TbY3Ho3
Method: DFT, PBE
State: optimized geometry

- space-group type = R3m (160)
- density (g/cm³) = 6.66

a = 6.302 Å, b = 6.302 Å, c = 6.302 Å
α = 102.45°, β = 102.45°, γ = 102.45°
Sites, in units of the cell vectors:
Tb1 0.000 0.000 0.000
Y1 0.148 0.148 0.548
Y2 0.148 0.548 0.148
Y3 0.548 0.148 0.148
Ho1 0.590 0.590 0.939
Ho2 0.590 0.939 0.590
Ho3 0.939 0.590 0.590

Entry B
Material: TbY3Ho3
Method: DFT, PBE
State: optimized geometry

- space-group type = R-3 (148)
- density (g/cm³) = 6.55

a = 14.595 Å, b = 14.595 Å, c = 14.595 Å
α = 24.40°, β = 24.40°, γ = 24.40°
Sites, in units of the cell vectors:
Tb1 0.167 0.167 0.167
Tb2 0.833 0.833 0.833
Y1 0.099 0.433 0.767
Y2 0.233 0.901 0.567
Y3 0.433 0.767 0.099
Y4 0.567 0.233 0.901
Y5 0.767 0.099 0.433
Y6 0.901 0.567 0.233
Ho1 0.035 0.698 0.367
Ho2 0.302 0.633 0.965
Ho3 0.367 0.035 0.698
Ho4 0.633 0.965 0.302
Ho5 0.698 0.367 0.035
Ho6 0.965 0.302 0.633

Which structure loses on stability? entry A does.